# 1
# Ca2Sm3YTe6

Crystalline Ca2Sm3YTe6 at its relaxed geometry (GGA-PBE, Alexandria).

As for the crystal system: monoclinic. Its total magnetization is 0.0000 μB per atom. Its energy is -5.07 eV/atom. Its uncorrected formation energy is -1.446 eV/atom.

The space group is C2/m (No. 12) and the conventional cell measures 7.641, 13.246 and 7.794 Å, with angles of 90.00, 109.15 and 90.00 degrees. Symmetry generates all atoms from Ca at (0.000, 0.166, 0.000), Sm at (0.000, 0.000, 0.500), Sm at (0.000, 0.328, 0.500), Y at (0.000, 0.500, 0.000), Te at (0.246, 0.335, 0.243) and Te at (0.247, 0.500, 0.750).

=====

# 2
# BCl2F

Crystalline BCl2F at its relaxed geometry (GGA-PBE, Alexandria).

As for the crystal system: orthorhombic. Its total magnetization is 0.0000 μB per atom. Its energy is -4.63 eV/atom. Its uncorrected formation energy is -1.569 eV/atom.

The space group is Cmcm (No. 63) and the conventional cell measures 6.705, 5.837 and 11.499 Å, with angles of 90.00, 90.00 and 90.00 degrees. Symmetry generates all atoms from B at (0.000, 0.112, 0.250), Cl at (0.000, 0.257, 0.117) and F at (0.000, 0.116, 0.750).

=====

Copy entry 2 word for word.
# BCl2F

Crystalline BCl2F at its relaxed geometry (GGA-PBE, Alexandria).

As for the crystal system: orthorhombic. Its total magnetization is 0.0000 μB per atom. Its energy is -4.63 eV/atom. Its uncorrected formation energy is -1.569 eV/atom.

The space group is Cmcm (No. 63) and the conventional cell measures 6.705, 5.837 and 11.499 Å, with angles of 90.00, 90.00 and 90.00 degrees. Symmetry generates all atoms from B at (0.000, 0.112, 0.250), Cl at (0.000, 0.257, 0.117) and F at (0.000, 0.116, 0.750).